A relaxed structure of CdSb2Te. Source: Alexandria via LeMat-Bulk, functional PBE-GGA.

Lattice parameters (Å, degrees): 3.198 3.198 11.045 90.00 90.00 102.63
Positions (direct):
Sb  0.000  0.000  0.968
Sb  0.000  0.000  0.532
Cd  0.500  0.500  0.750
Te  0.500  0.500  0.250

Computed properties:
Its density of states at the Fermi level is 2.635 states/eV/cell. As for the space group: No. 65. Its total energy is -2.87 eV/atom.


A relaxed structure of CdSbTe. Source: Alexandria via LeMat-Bulk, functional PBE-GGA.

Lattice parameters (Å, degrees): 5.715 5.715 3.061 90.00 90.00 120.00
Positions (direct):
Cd  0.000  0.000  0.662
Te  0.333  0.667  0.670
Sb  0.667  0.333  0.668

Computed properties:
Its density of states at the Fermi level is 2.419 states/eV/cell. As for the space group: No. 156. Its total energy is -2.59 eV/atom.


A relaxed structure of CdSb2Te. Source: Alexandria via LeMat-Bulk, functional PBE-GGA.

Lattice parameters (Å, degrees): 4.294 3.126 8.881 78.31 90.00 90.00
Positions (direct):
Te  0.500  0.250  0.250
Sb  0.000  0.109  0.518
Sb  0.000  0.391  0.982
Cd  0.500  0.750  0.750

Computed properties:
Its density of states at the Fermi level is 1.380 states/eV/cell. As for the space group: No. 10. Its total energy is -3.03 eV/atom.


A relaxed structure of CdSb2Te. Source: Alexandria via LeMat-Bulk, functional PBE-GGA.

Lattice parameters (Å, degrees): 6.435 6.435 3.078 90.00 90.00 119.78
Positions (direct):
Cd  0.000  0.500  0.500
Sb  0.000  0.000  0.000
Sb  0.500  0.500  0.000
Te  0.500  0.000  0.500

Computed properties:
Its density of states at the Fermi level is 2.891 states/eV/cell. As for the space group: No. 65. Its total energy is -2.84 eV/atom.


A relaxed structure of CdSb2Te. Source: Alexandria via LeMat-Bulk, functional PBE-GGA.

Lattice parameters (Å, degrees): 6.216 6.216 6.581 86.85 86.85 28.99
Positions (direct):
Cd  0.250  0.250  0.250
Sb  0.554  0.554  0.440
Sb  0.946  0.946  0.060
Te  0.750  0.750  0.750

Computed properties:
Its density of states at the Fermi level is 1.869 states/eV/cell. As for the space group: No. 12. Its total energy is -2.92 eV/atom.


A relaxed structure of Cd2SbTe. Source: Alexandria via LeMat-Bulk, functional PBE-GGA.

Lattice parameters (Å, degrees): 6.674 6.674 7.952 65.19 65.19 90.00
Positions (direct):
Cd  0.875  0.870  0.750
Cd  0.375  0.380  0.750
Cd  0.130  0.625  0.250
Cd  0.620  0.125  0.250
Te  0.750  0.250  0.500
Te  0.000  0.000  0.000
Sb  0.500  0.500  0.000
Sb  0.250  0.750  0.500

Computed properties:
Its density of states at the Fermi level is 7.622 states/eV/cell. As for the space group: No. 122. Its total energy is -2.38 eV/atom.


A relaxed structure of CdSbTe. Source: Alexandria via LeMat-Bulk, functional PBE-GGA.

Lattice parameters (Å, degrees): 3.456 3.456 8.447 90.00 90.00 120.00
Positions (direct):
Sb  0.667  0.333  0.279
Cd  0.000  0.000  0.000
Te  0.333  0.667  0.721

Computed properties:
Its density of states at the Fermi level is 1.203 states/eV/cell. As for the space group: No. 156. Its total energy is -2.59 eV/atom.


A relaxed structure of CdSb2Te. Source: Alexandria via LeMat-Bulk, functional PBE-GGA.

Lattice parameters (Å, degrees): 3.837 5.670 5.036 90.00 90.00 90.00
Positions (direct):
Sb  0.500  0.500  0.000
Sb  0.000  0.000  0.000
Cd  0.000  0.500  0.500
Te  0.500  0.000  0.500

Computed properties:
Its density of states at the Fermi level is 2.503 states/eV/cell. As for the space group: No. 47. Its total energy is -2.90 eV/atom.


A relaxed structure of CdSb2Te. Source: Alexandria via LeMat-Bulk, functional PBE-GGA.

Lattice parameters (Å, degrees): 5.337 5.337 5.337 60.00 60.00 60.00
Positions (direct):
Cd  0.500  0.500  0.500
Sb  0.750  0.750  0.750
Sb  0.000  0.000  0.000
Te  0.250  0.250  0.250

Computed properties:
Its density of states at the Fermi level is 1.383 states/eV/cell. As for the space group: No. 216. Its total energy is -2.91 eV/atom.


A relaxed structure of Cd2SbTe. Source: Alexandria via LeMat-Bulk, functional PBE-GGA.

Lattice parameters (Å, degrees): 3.215 3.215 10.568 90.00 90.00 99.10
Positions (direct):
Cd  0.000  0.000  0.023
Cd  0.500  0.500  0.238
Te  0.500  0.500  0.781
Sb  0.000  0.000  0.459

Computed properties:
Its density of states at the Fermi level is 1.469 states/eV/cell. As for the space group: No. 35. Its total energy is -2.15 eV/atom.


A relaxed structure of Cd2SbTe. Source: Alexandria via LeMat-Bulk, functional PBE-GGA.

Lattice parameters (Å, degrees): 5.721 5.721 3.262 90.00 90.00 89.97
Positions (direct):
Te  0.000  0.500  0.500
Cd  0.500  0.500  0.000
Cd  0.000  0.000  0.000
Sb  0.500  0.000  0.500

Computed properties:
Its density of states at the Fermi level is 2.594 states/eV/cell. As for the space group: No. 123. Its total energy is -2.15 eV/atom.


A relaxed structure of Cd2SbTe. Source: Alexandria via LeMat-Bulk, functional PBE-GGA.

Lattice parameters (Å, degrees): 7.628 7.628 7.628 32.20 32.20 32.20
Positions (direct):
Te  0.750  0.750  0.750
Sb  0.250  0.250  0.250
Cd  0.500  0.500  0.500
Cd  0.000  0.000  0.000

Computed properties:
Its density of states at the Fermi level is 1.920 states/eV/cell. As for the space group: No. 166. Its total energy is -2.35 eV/atom.


These records have total magnetization values of 0.00 0.00 0.00 0.00 0.00 0.00 0.00 0.00 0.00 0.00 0.00 0.00 Bohr magnetons per cell, in the order they appear.